Material: EuEr2Mg
Method: DFT, PBE
State: relaxed

Output
The calculation puts the total magnetization at 7.4 μB per formula unit. The calculation puts the energy above the most stable polymorph in this dataset at 0.0000 eV/atom. For the calculated formation energy, the calculation gives 0.1 eV per formula unit. The density of states at the Fermi level comes out at 4.4 states/eV per cell.

abc: 3.720 3.720 8.938
angles: 90.00 90.00 90.00
Positions (direct):
Eu 0.500 0.500 0.500
Mg 0.500 0.500 0.000
Er 0.000 0.000 0.794
Er 0.000 0.000 0.206

Material: EuEr2Mg
Method: DFT, PBE
State: relaxed

Output
The calculation puts the total magnetization at 7.8 μB per formula unit. The calculation puts the energy above the most stable polymorph in this dataset at 0.0564 eV/atom. For the calculated formation energy, the calculation gives 0.4 eV per formula unit. The density of states at the Fermi level comes out at 6.2 states/eV per cell.

abc: 5.028 4.955 4.955
angles: 90.00 90.00 90.00
Positions (direct):
Eu 0.500 0.500 0.500
Mg 0.500 0.000 0.000
Er 0.000 0.000 0.500
Er 0.000 0.500 0.000